Entry 1:
Compound: Li2ZnCu3
Source: the Alexandria database
Functional: PBE
Structure: optimized geometry

Calculated values
The calculation puts the calculated total energy at -3.00 eV/atom. Its magnetic moment is 0.00 μB per formula unit. The value obtained for the excess energy over the best structure of this formula in the dataset is 19 meV per atom. The formation energy from the elements is -99 meV per atom. As for the symmetry: P6_3/mmc, No. 194. The density of states at the Fermi level comes out at 5.67 states/eV per cell. Its calculated density is 5.23 g/cm³.

```
12
Lattice="-1.902 -0.979 4.386 -2.457 -1.189 -4.045 3.700 -7.448 -0.058" Properties=species:S:1:pos:R:3 pbc="T T T"
Li -0.480 -4.282 1.550
Li -0.178 -5.334 -1.268
Li 1.185 -8.076 -1.289
Li -1.843 -1.540 1.572
Zn 1.850 -3.724 -0.029
Zn 0.000 0.000 0.000
Cu -0.228 -2.430 -0.641
Cu 1.716 -6.119 0.756
Cu -0.430 -7.186 0.924
Cu -1.438 -3.015 -2.633
Cu 0.779 -6.601 2.915
Cu -2.374 -3.497 -0.474
```

=====

Entry 2:
Compound: LiZn8Cu4
Source: the Alexandria database
Functional: PBE
Structure: optimized geometry

Calculated values
The calculation puts the calculated total energy at -1.98 eV/atom. Its magnetic moment is 0.00 μB per formula unit. The value obtained for the excess energy over the best structure of this formula in the dataset is 323 meV per atom. The formation energy from the elements is 212 meV per atom. As for the symmetry: F-43m, No. 216. The density of states at the Fermi level comes out at 8.11 states/eV per cell. Its calculated density is 5.87 g/cm³.

```
13
Lattice="6.795 0.000 0.000 3.398 5.885 0.000 3.398 1.962 5.548" Properties=species:S:1:pos:R:3 pbc="T T T"
Li 10.193 5.885 4.161
Zn 5.481 0.759 0.537
Zn 3.398 4.367 0.537
Zn 3.398 1.962 3.938
Zn 1.314 0.759 0.537
Zn 5.464 4.692 3.317
Zn 6.795 2.386 3.317
Zn 6.795 3.923 1.144
Zn 8.126 4.692 3.317
Cu 8.914 2.700 1.909
Cu 6.795 6.370 1.909
Cu 6.795 3.923 5.370
Cu 4.676 2.700 1.909
```